! KVNiO4, optimized geometry, DFT PBE with a Hubbard U; values from VASP
! Space-group type: No. 11
! DOS at the Fermi energy (states/eV/atom): 0.000
! Total moment (μB per cell): 3.93
! Calculated total energy (eV per atom): -6.127
! Crystal system: monoclinic
&SYSTEM
  ibrav = 0, nat = 14, ntyp = 4
/
ATOMIC_SPECIES
K 39.10 K.upf
V 50.94 V.upf
Ni 58.69 Ni.upf
O 16.00 O.upf
CELL_PARAMETERS angstrom
5.3373 0.0000 0.0000
0.0000 5.7799 0.0000
-0.1412 0.0000 7.8428
ATOMIC_POSITIONS crystal
K 0.2098 0.2500 0.4555
K 0.7902 0.7500 0.5445
V 0.3300 0.7500 0.2283
V 0.6700 0.2500 0.7717
Ni 0.0940 0.2500 0.9783
Ni 0.9060 0.7500 0.0217
O 0.1655 0.5108 0.1375
O 0.1655 0.9892 0.1375
O 0.2861 0.7500 0.4426
O 0.3524 0.2500 0.8043
O 0.6476 0.7500 0.1957
O 0.7139 0.2500 0.5574
O 0.8345 0.0108 0.8625
O 0.8345 0.4892 0.8625